First-principles (PBE+U) data for a relaxed structure of Mn2TePtO, as listed in Alexandria via LeMat-Bulk.

Its total magnetization is 9.4 Bohr magnetons per cell. The value obtained for the density of states at the Fermi level is 1.8 states/eV per cell. The energy is -6.11 eV/atom. As for the theoretical density: 8.333 g/cm³.

The space group is P4/mmm (No. 123) and the conventional cell measures 4.103, 4.103 and 5.309 Å, with angles of 90.00, 90.00 and 90.00 degrees. The asymmetric unit holds Mn at (0.000, 0.500, 0.000), Te at (0.000, 0.000, 0.500), Pt at (0.500, 0.500, 0.500) and O at (0.500, 0.500, 0.000).